No. 1
DFT (PBE) results for a geometry-optimized Ce2Pu5Ge4 structure.

```
Ce2Pu5Ge4
1.0
-1.6430 3.4256 12.4749
1.6430 -3.4256 12.4749
1.6430 3.4256 -12.4749
Ce Pu Ge
2 5 4
direct
0.1994 0.1994 0.0000
0.8006 0.8006 0.0000
0.1349 0.8954 0.2394
0.3440 0.1046 0.2394
0.5000 0.0000 0.5000
0.6560 0.8954 0.7606
0.8651 0.1046 0.7606
0.1710 0.5000 0.6710
0.3175 0.3175 0.0000
0.6825 0.6825 0.0000
0.8290 0.5000 0.3290
```

Computed properties:
Energy in eV per cell: -101.92
ΔH_f (0 K) in eV per atom: 0.007
D(E_F) in states/eV per atom: 2.77
Total moment in μB/f.u.: 31.01

=====

No. 2
DFT (PBE) results for a geometry-optimized CePu6Ge6 structure.

```
CePu6Ge6
1.0
2.8646 -5.3724 0.0000
2.8646 5.3724 0.0000
0.0000 0.0000 9.6833
Ce Pu Ge
1 6 6
direct
0.0000 0.0000 0.0000
0.0000 0.5000 0.2753
0.0000 0.5000 0.7247
0.5000 0.0000 0.2753
0.5000 0.0000 0.7247
0.5000 0.5000 0.2162
0.5000 0.5000 0.7838
0.0000 0.0000 0.3229
0.0000 0.0000 0.6771
0.3016 0.6984 0.0000
0.3857 0.6143 0.5000
0.6143 0.3857 0.5000
0.6984 0.3016 0.0000
```

Computed properties:
Energy in eV per cell: -122.84
ΔH_f (0 K) in eV per atom: -0.247
D(E_F) in states/eV per atom: 2.65
Total moment in μB/f.u.: 9.96

=====

No. 3
DFT (PBE) results for a geometry-optimized Ce4PuGe structure.

```
Ce4PuGe
1.0
8.4135 0.0000 0.0000
0.0000 7.5738 0.0000
-6.5000 0.0000 9.6364
Ce Pu Ge
16 4 4
direct
0.0499 0.1161 0.4081
0.0499 0.3839 0.9081
0.2070 0.5691 0.5056
0.2070 0.9309 0.0056
0.2780 0.2042 0.7816
0.2780 0.2958 0.2816
0.3426 0.6836 0.8582
0.3426 0.8164 0.3582
0.6574 0.1836 0.6418
0.6574 0.3164 0.1418
0.7220 0.7042 0.7184
0.7220 0.7958 0.2184
0.7930 0.0691 0.9944
0.7930 0.4309 0.4944
0.9501 0.6161 0.0919
0.9501 0.8839 0.5919
0.0016 0.0960 0.7826
0.0016 0.4040 0.2826
0.9984 0.5960 0.7174
0.9984 0.9040 0.2174
0.3905 0.5776 0.1595
0.3905 0.9224 0.6595
0.6095 0.0776 0.3405
0.6095 0.4224 0.8405
```

Computed properties:
Energy in eV per cell: -176.31
ΔH_f (0 K) in eV per atom: -0.232
D(E_F) in states/eV per atom: 1.64
Total moment in μB/f.u.: 0.90

=====

No. 4
DFT (PBE) results for a geometry-optimized Ce2PuGe structure.

```
Ce2PuGe
1.0
0.0000 3.6498 3.6498
3.6498 0.0000 3.6498
3.6498 3.6498 0.0000
Ce Pu Ge
2 1 1
direct
0.2500 0.2500 0.2500
0.7500 0.7500 0.7500
0.0000 0.0000 0.0000
0.5000 0.5000 0.5000
```

Computed properties:
Energy in eV per cell: -31.88
Energy above the most stable polymorph in this dataset in meV/atom: 130.9
ΔH_f (0 K) in eV per atom: -0.265
D(E_F) in states/eV per atom: 2.22
Total moment in μB/f.u.: 8.26

=====

No. 5
DFT (PBE) results for a geometry-optimized Ce2PuGe structure.

```
Ce2PuGe
1.0
3.8631 0.0000 0.0000
0.0000 3.8631 0.0000
0.0000 0.0000 6.6138
Ce Pu Ge
2 1 1
direct
0.0000 0.0000 0.2254
0.0000 0.0000 0.7746
0.5000 0.5000 0.5000
0.5000 0.5000 0.0000
```

Computed properties:
Energy in eV per cell: -32.06
Energy above the most stable polymorph in this dataset in meV/atom: 84.7
ΔH_f (0 K) in eV per atom: -0.311
D(E_F) in states/eV per atom: 2.57
Total moment in μB/f.u.: 7.60

=====

No. 6
DFT (PBE) results for a geometry-optimized CePu6Ge2 structure.

```
CePu6Ge2
1.0
8.7963 0.0000 0.0000
-4.3981 7.6178 0.0000
0.0000 0.0000 3.1386
Ce Pu Ge
1 6 2
direct
0.0000 0.0000 0.0000
0.0000 0.3407 0.5000
0.0000 0.6593 0.5000
0.3407 0.0000 0.5000
0.3407 0.3407 0.5000
0.6593 0.0000 0.5000
0.6593 0.6593 0.5000
0.3333 0.6667 0.0000
0.6667 0.3333 0.0000
```

Computed properties:
Energy in eV per cell: -101.07
ΔH_f (0 K) in eV per atom: 0.010
D(E_F) in states/eV per atom: 3.33
Total moment in μB/f.u.: 33.41

=====

No. 7
DFT (PBE) results for a geometry-optimized CePu2Ge6 structure.

```
CePu2Ge6
1.0
7.5813 0.0000 0.0000
-3.7907 6.5656 0.0000
0.0000 0.0000 3.9315
Ce Pu Ge
1 2 6
direct
0.0000 0.0000 0.0000
0.3333 0.6667 0.0000
0.6667 0.3333 0.0000
0.0000 0.3339 0.5000
0.0000 0.6661 0.5000
0.3339 0.0000 0.5000
0.3339 0.3339 0.5000
0.6661 0.0000 0.5000
0.6661 0.6661 0.5000
```

Computed properties:
Energy in eV per cell: -65.84
ΔH_f (0 K) in eV per atom: -0.393
D(E_F) in states/eV per atom: 2.65
Total moment in μB/f.u.: 11.97

=====

No. 8
DFT (PBE) results for a geometry-optimized CePuGe3 structure.

```
CePuGe3
1.0
6.8244 0.0000 0.0000
0.0000 7.5704 0.0000
0.0000 0.0000 8.7217
Ce Pu Ge
4 4 12
direct
0.2141 0.1469 0.0000
0.2859 0.6469 0.5000
0.7141 0.3531 0.5000
0.7859 0.8531 0.0000
0.2093 0.1435 0.5000
0.2907 0.6435 0.0000
0.7093 0.3565 0.0000
0.7907 0.8565 0.5000
0.0000 0.5000 0.2468
0.0000 0.5000 0.7532
0.1129 0.8654 0.2484
0.1129 0.8654 0.7516
0.3871 0.3654 0.2516
0.3871 0.3654 0.7484
0.5000 0.0000 0.2532
0.5000 0.0000 0.7468
0.6129 0.6346 0.2516
0.6129 0.6346 0.7484
0.8871 0.1346 0.2484
0.8871 0.1346 0.7516
```

Computed properties:
Energy in eV per cell: -147.13
Energy above the most stable polymorph in this dataset in meV/atom: 0.0
ΔH_f (0 K) in eV per atom: -0.533
D(E_F) in states/eV per atom: 2.24
Total moment in μB/f.u.: 5.79

=====

No. 9
DFT (PBE) results for a geometry-optimized Ce8Pu3Ge2 structure.

```
Ce8Pu3Ge2
1.0
6.7067 0.0000 0.0000
-1.9547 6.7736 0.0000
-1.3068 -3.4953 7.4032
Ce Pu Ge
8 3 2
direct
0.0240 0.2919 0.2922
0.1505 0.7963 0.1523
0.3624 0.2226 0.0132
0.4583 0.7274 0.5239
0.5417 0.2726 0.4761
0.6376 0.7774 0.9868
0.8495 0.2037 0.8477
0.9760 0.7081 0.7078
0.0000 0.0000 0.0000
0.2220 0.9554 0.5126
0.7780 0.0446 0.4874
0.2305 0.4068 0.7056
0.7695 0.5932 0.2944
```

Computed properties:
Energy in eV per cell: -102.36
ΔH_f (0 K) in eV per atom: -0.204
D(E_F) in states/eV per atom: 1.64
Total moment in μB/f.u.: 10.29

=====

No. 10
DFT (PBE) results for a geometry-optimized CePuGe3 structure.

```
CePuGe3
1.0
3.9207 2.2636 4.6876
-3.9207 2.2636 4.6876
0.0000 -4.5272 4.6876
Ce Pu Ge
2 2 6
direct
0.1717 0.1717 0.1717
0.8283 0.8283 0.8283
0.3995 0.3995 0.3995
0.6005 0.6005 0.6005
0.0018 0.3500 0.7599
0.2401 0.9982 0.6500
0.3500 0.7599 0.0018
0.6500 0.2401 0.9982
0.7599 0.0018 0.3500
0.9982 0.6500 0.2401
```

Computed properties:
Energy in eV per cell: -70.34
Energy above the most stable polymorph in this dataset in meV/atom: 322.1
ΔH_f (0 K) in eV per atom: -0.211
D(E_F) in states/eV per atom: 2.10
Total moment in μB/f.u.: 6.60

=====

No. 11
DFT (PBE) results for a geometry-optimized Ce2Pu3Ge3 structure.

```
Ce2Pu3Ge3
1.0
8.5514 0.0000 0.0000
-4.2757 7.4058 0.0000
0.0000 0.0000 6.4555
Ce Pu Ge
4 6 6
direct
0.3333 0.6667 0.0000
0.3333 0.6667 0.5000
0.6667 0.3333 0.0000
0.6667 0.3333 0.5000
0.0000 0.2390 0.2500
0.0000 0.7610 0.7500
0.2390 0.0000 0.2500
0.2390 0.2390 0.7500
0.7610 0.0000 0.7500
0.7610 0.7610 0.2500
0.0000 0.3987 0.7500
0.0000 0.6013 0.2500
0.3987 0.0000 0.7500
0.3987 0.3987 0.2500
0.6013 0.0000 0.2500
0.6013 0.6013 0.7500
```

Computed properties:
Energy in eV per cell: -144.26
Energy above the most stable polymorph in this dataset in meV/atom: 0.0
ΔH_f (0 K) in eV per atom: -0.427
D(E_F) in states/eV per atom: 3.34
Total moment in μB/f.u.: 19.57

=====

No. 12
DFT (PBE) results for a geometry-optimized Ce2Pu2Ge3 structure.

```
Ce2Pu2Ge3
1.0
5.5448 0.0000 0.0000
0.4835 5.7016 0.0000
2.6873 0.7950 5.0576
Ce Pu Ge
2 2 3
direct
0.1514 0.3648 0.1942
0.8486 0.6352 0.8058
0.2186 0.9732 0.7328
0.7814 0.0268 0.2672
0.3137 0.8346 0.2216
0.5000 0.5000 0.5000
0.6863 0.1654 0.7784
```

Computed properties:
Energy in eV per cell: -57.86
ΔH_f (0 K) in eV per atom: -0.496
D(E_F) in states/eV per atom: 1.87
Total moment in μB/f.u.: 11.53

=====

No. 13
DFT (PBE) results for a geometry-optimized Ce3PuGe2 structure.

```
Ce3PuGe2
1.0
3.8506 2.2231 6.1049
-3.8506 2.2231 6.1049
0.0000 -4.4463 6.1049
Ce Pu Ge
6 2 4
direct
0.0992 0.7500 0.4008
0.2500 0.5992 0.9008
0.4008 0.0992 0.7500
0.5992 0.9008 0.2500
0.7500 0.4008 0.0992
0.9008 0.2500 0.5992
0.0000 0.0000 0.0000
0.5000 0.5000 0.5000
0.1736 0.1736 0.1736
0.3264 0.3264 0.3264
0.6736 0.6736 0.6736
0.8264 0.8264 0.8264
```

Computed properties:
Energy in eV per cell: -86.36
Energy above the most stable polymorph in this dataset in meV/atom: 56.4
ΔH_f (0 K) in eV per atom: -0.302
D(E_F) in states/eV per atom: 1.20
Total moment in μB/f.u.: 8.72

=====

No. 14
DFT (PBE) results for a geometry-optimized CePu2Ge3 structure.

```
CePu2Ge3
1.0
4.8633 -3.0109 0.0000
4.8633 3.0109 0.0000
-3.7600 0.0000 8.9835
Ce Pu Ge
2 4 6
direct
0.1457 0.8543 0.7500
0.8543 0.1457 0.2500
0.1930 0.4871 0.9178
0.4871 0.1930 0.4178
0.5129 0.8070 0.5822
0.8070 0.5129 0.0822
0.0243 0.3206 0.5859
0.3206 0.0243 0.0859
0.3545 0.6455 0.2500
0.6455 0.3545 0.7500
0.6794 0.9757 0.9141
0.9757 0.6794 0.4141
```

Computed properties:
Energy in eV per cell: -102.70
Energy above the most stable polymorph in this dataset in meV/atom: 17.1
ΔH_f (0 K) in eV per atom: -0.483
D(E_F) in states/eV per atom: 2.23
Total moment in μB/f.u.: 11.14

=====

No. 15
DFT (PBE) results for a geometry-optimized CePu3Ge5 structure.

```
CePu3Ge5
1.0
8.7336 0.0000 0.0000
-4.3668 7.5635 0.0000
0.0000 0.0000 6.0350
Ce Pu Ge
2 6 10
direct
0.0000 0.0000 0.0000
0.0000 0.0000 0.5000
0.0000 0.3791 0.2500
0.0000 0.6209 0.7500
0.3791 0.0000 0.2500
0.3791 0.3791 0.7500
0.6209 0.0000 0.7500
0.6209 0.6209 0.2500
0.0000 0.2956 0.7500
0.0000 0.7044 0.2500
0.2956 0.0000 0.7500
0.2956 0.2956 0.2500
0.3333 0.6667 0.0000
0.3333 0.6667 0.5000
0.6667 0.3333 0.0000
0.6667 0.3333 0.5000
0.7044 0.0000 0.2500
0.7044 0.7044 0.7500
```

Computed properties:
Energy in eV per cell: -151.14
ΔH_f (0 K) in eV per atom: -0.395
D(E_F) in states/eV per atom: 3.20
Total moment in μB/f.u.: 15.86

=====

No. 16
DFT (PBE) results for a geometry-optimized Ce3Pu2Ge4 structure.

```
Ce3Pu2Ge4
1.0
4.0750 -7.1610 0.0000
4.0750 7.1610 0.0000
0.0000 0.0000 8.0501
Ce Pu Ge
6 4 8
direct
0.0000 0.0000 0.0000
0.0185 0.4815 0.2500
0.4815 0.0185 0.7500
0.5000 0.5000 0.5000
0.5185 0.9815 0.2500
0.9815 0.5185 0.7500
0.0965 0.9035 0.4792
0.4035 0.5965 0.9792
0.5965 0.4035 0.0208
0.9035 0.0965 0.5208
0.2015 0.7985 0.0152
0.2360 0.2640 0.2500
0.2640 0.2360 0.7500
0.2985 0.7015 0.5152
0.7015 0.2985 0.4848
0.7360 0.7640 0.2500
0.7640 0.7360 0.7500
0.7985 0.2015 0.9848
```

Computed properties:
Energy in eV per cell: -138.09
Energy above the most stable polymorph in this dataset in meV/atom: 161.6
ΔH_f (0 K) in eV per atom: -0.457
D(E_F) in states/eV per atom: 2.13
Total moment in μB/f.u.: 11.87

=====

No. 17
DFT (PBE) results for a geometry-optimized Ce7Pu6Ge4 structure.

```
Ce7Pu6Ge4
1.0
-4.6399 4.6399 4.6399
4.6399 -4.6399 4.6399
4.6399 4.6399 -4.6399
Ce Pu Ge
7 6 4
direct
0.0000 0.0000 0.0000
0.2500 0.5000 0.7500
0.2500 0.7500 0.5000
0.5000 0.2500 0.7500
0.5000 0.7500 0.2500
0.7500 0.2500 0.5000
0.7500 0.5000 0.2500
0.0000 0.2898 0.2898
0.0000 0.7102 0.7102
0.2898 0.0000 0.2898
0.2898 0.2898 0.0000
0.7102 0.0000 0.7102
0.7102 0.7102 0.0000
0.0000 0.0000 0.5000
0.0000 0.5000 0.0000
0.5000 0.0000 0.0000
0.5000 0.5000 0.5000
```

Computed properties:
Energy in eV per cell: -149.08
ΔH_f (0 K) in eV per atom: -0.181
D(E_F) in states/eV per atom: 1.91
Total moment in μB/f.u.: 35.65

=====

No. 18
DFT (PBE) results for a geometry-optimized Ce5PuGe structure.

```
Ce5PuGe
1.0
4.9373 -3.7045 0.0000
4.9373 3.7045 0.0000
-3.7449 0.0000 9.9970
Ce Pu Ge
10 2 2
direct
0.0275 0.9725 0.7500
0.0923 0.3797 0.1070
0.1970 0.5913 0.4511
0.3797 0.0923 0.6070
0.4087 0.8030 0.0489
0.5913 0.1970 0.9511
0.6203 0.9077 0.3930
0.8030 0.4087 0.5489
0.9077 0.6203 0.8930
0.9725 0.0275 0.2500
0.0000 0.0000 0.0000
0.0000 0.0000 0.5000
0.4299 0.5701 0.7500
0.5701 0.4299 0.2500
```

Computed properties:
Energy in eV per cell: -99.40
ΔH_f (0 K) in eV per atom: -0.155
D(E_F) in states/eV per atom: 1.75
Total moment in μB/f.u.: 0.00

=====

No. 19
DFT (PBE) results for a geometry-optimized CePu6Ge4 structure.

```
CePu6Ge4
1.0
8.8482 0.0000 0.0000
-4.4241 7.6628 0.0000
0.0000 0.0000 4.0468
Ce Pu Ge
1 6 4
direct
0.0000 0.0000 0.0000
0.1984 0.3969 0.5000
0.1984 0.8016 0.5000
0.5354 0.0709 0.0000
0.5354 0.4646 0.0000
0.6031 0.8016 0.5000
0.9291 0.4646 0.0000
0.3333 0.6667 0.0000
0.3359 0.1680 0.5000
0.8320 0.1680 0.5000
0.8320 0.6641 0.5000
```

Computed properties:
Energy in eV per cell: -113.29
ΔH_f (0 K) in eV per atom: -0.263
D(E_F) in states/eV per atom: 4.28
Total moment in μB/f.u.: 0.43

=====

No. 20
DFT (PBE) results for a geometry-optimized Ce8PuGe2 structure.

```
Ce8PuGe2
1.0
4.2125 -7.6743 0.0000
4.2125 7.6743 0.0000
-3.2389 0.0000 4.1675
Ce Pu Ge
8 1 2
direct
0.0000 0.0000 0.0000
0.1302 0.5227 0.3108
0.2130 0.9636 0.5529
0.4988 0.7410 0.1165
0.5227 0.1302 0.3108
0.5310 0.5310 0.6097
0.7410 0.4988 0.1165
0.9636 0.2130 0.5529
0.2883 0.2883 0.9580
0.0238 0.6381 0.8162
0.6381 0.0238 0.8162
```

Computed properties:
Energy in eV per cell: -73.73
ΔH_f (0 K) in eV per atom: -0.245
D(E_F) in states/eV per atom: 2.55
Total moment in μB/f.u.: 1.42